# PBE-GGA Er2Sc2Ga4Pd, relaxed
data_Er2Sc2Ga4Pd
_chemical_formula_sum 'Er2 Sc2 Ga4 Pd1'
_cell_length_a 6.421
_cell_length_b 6.421
_cell_length_c 6.421
_cell_angle_alpha 120.44
_cell_angle_beta 120.44
_cell_angle_gamma 89.23
_symmetry_space_group_name_H-M 'P 1'
_symmetry_Int_Tables_number 1
_symmetry_space_group_name_Hall 'P 1'
loop_
_atom_site_label
_atom_site_fract_x
_atom_site_fract_y
_atom_site_fract_z
_atom_site_occupancy
Er1 0.250 0.750 0.500 1
Er2 0.750 0.250 0.500 1
Sc1 0.222 0.222 0.000 1
Sc2 0.778 0.778 0.000 1
Ga1 0.220 0.220 0.440 1
Ga2 0.220 0.780 0.000 1
Ga3 0.780 0.220 0.000 1
Ga4 0.780 0.780 0.560 1
Pd1 0.500 0.500 0.000 1
# - DFT total energy (eV per atom) = -4.82
# - N(E_F) (states/eV/f.u.) = 6.56